# 1
## K2CuGeBr6 (PBE-GGA)

Data for K2CuGeBr6 after structural relaxation.

Structure (extended XYZ):
```
10
Lattice="0.000 5.304 5.304 5.304 0.000 5.304 5.304 5.304 0.000" Properties=species:S:1:pos:R:3 pbc="T T T"
Br 5.304 5.304 7.994
Br 2.613 5.304 5.304
Br 7.994 5.304 5.304
Br 5.304 2.613 5.304
Br 5.304 5.304 2.613
Br 5.304 7.994 5.304
K 7.955 7.955 7.955
K 2.652 2.652 2.652
Cu 0.000 0.000 0.000
Ge 5.304 5.304 5.304
```

Output
- Space-group type: Fm-3m (225)
- Calculated volume: 29.84 Å³/atom
- E_tot: -30.017 eV per cell



# 2
## Rb2CuGeBr6 (PBE-GGA)

Data for Rb2CuGeBr6 after structural relaxation.

Structure (extended XYZ):
```
10
Lattice="7.248 0.075 2.133 -1.815 -3.739 6.310 -1.926 -2.810 -6.744" Properties=species:S:1:pos:R:3 pbc="T T T"
Rb 4.019 -2.283 -0.195
Rb -0.512 -4.190 1.893
Ge 2.716 -1.832 4.221
Br 0.390 -2.288 -1.243
Br 1.339 -0.903 2.081
Br 4.093 -2.760 6.361
Br 3.117 -4.185 2.942
Br 5.014 -0.865 3.162
Br 0.418 -2.799 5.280
Cu 0.000 0.000 0.000
```

Output
- Space-group type: Fm-3m (225)
- Calculated volume: 30.49 Å³/atom
- E_tot: -30.020 eV per cell



# 3
## Rb2CuGeBr6 (PBE-GGA)

Data for Rb2CuGeBr6 after structural relaxation.

Structure (extended XYZ):
```
20
Lattice="-0.329 7.454 1.014 -4.960 -0.978 5.582 8.019 -0.602 7.020" Properties=species:S:1:pos:R:3 pbc="T T T"
Br 1.704 0.170 2.074
Br -4.266 5.167 5.326
Br 3.070 3.102 8.879
Br 6.249 5.133 9.511
Br -0.869 3.415 5.395
Br 2.302 5.273 5.960
Br 2.364 1.584 5.559
Br 6.469 1.361 8.948
Br -0.101 1.242 8.315
Br 5.785 -0.121 5.607
Br -0.166 4.930 8.716
Br -4.047 1.393 4.764
Ge -2.908 3.564 3.627
Ge 3.744 0.020 3.840
Cu 1.100 3.256 7.137
Cu -0.263 0.326 0.329
Rb 3.270 -0.618 8.386
Rb 1.572 3.903 2.589
Rb 5.590 3.598 6.104
Rb -0.741 -0.317 4.876
```

Output
- Space-group type: P1 (1)
- Calculated volume: 30.26 Å³/atom
- E_tot: -60.030 eV per cell